ZnCdSn2 PBE relaxed; calculated total energy = -2.4098 eV per atom
1.0
0.000 3.639 3.639
3.639 0.000 3.639
3.639 3.639 0.000
Cd Sn Zn
1 2 1
Direct
0.500 0.500 0.500
0.000 0.000 0.000
0.250 0.250 0.250
0.750 0.750 0.750